The following is a DFT calculation (PBE with a Hubbard U) of an optimized crystal structure of NiMoO2.

Summary:
- VASP energy: -41.075 eV per cell
- Excess energy over the best structure of this formula in the dataset: 581.9 meV per atom

a = 6.5147 Å, b = 6.5147 Å, c = 6.5147 Å
α = 144.83°, β = 144.83°, γ = 50.59°
With the nearest neighbours (Å) after each atom.
Element x y z (fractional)
Ni (0.0000, 0.0000, 0.0000)  4 O 2.04
Ni (0.7500, 0.2500, 0.5000)  4 O 2.04
Mo (0.2500, 0.7500, 0.5000)  4 O 2.01
Mo (0.5000, 0.5000, 0.0000)  4 O 2.01
O (0.1339, 0.6250, 0.0089)  2 Mo 2.01, 2 Ni 2.04
O (0.3750, 0.3839, 0.5089)  2 Mo 2.01, 2 Ni 2.04
O (0.6161, 0.1250, 0.9911)  2 Mo 2.01, 2 Ni 2.04
O (0.8750, 0.8661, 0.4911)  2 Mo 2.01, 2 Ni 2.04